[1]
A plane-wave DFT calculation with GGA-PBE was carried out for a geometry-optimized CdH2Pt2 structure.

Uncorrected energy (eV per cell): -19.8
Energy relative to the lowest polymorph listed for this composition (eV/atom): 0.053
DOS(E_F) (states/eV/atom): 0.182

```
CdH2Pt2
1.0
-1.7032 1.7032 4.9995
1.7032 -1.7032 4.9995
1.7032 1.7032 -4.9995
Cd H Pt
1 2 2
Direct
0.0000 0.0000 0.0000
0.2500 0.7500 0.5000
0.7500 0.2500 0.5000
0.3448 0.3448 0.0000
0.6552 0.6552 0.0000
```



[2]
A plane-wave DFT calculation with GGA-PBE was carried out for a geometry-optimized LiTcMoRu structure.

Energy relative to the elements (kJ/mol of formula units): 53.7
Uncorrected energy (eV per cell): -31.8
DOS(E_F) (states/eV/atom): 1.536

```
LiTcMoRu
1.0
0.0000 3.0350 3.0350
3.0350 0.0000 3.0350
3.0350 3.0350 0.0000
Li Tc Mo Ru
1 1 1 1
Direct
0.0000 0.0000 0.0000
0.2500 0.2500 0.2500
0.5000 0.5000 0.5000
0.7500 0.7500 0.7500
```



[3]
A plane-wave DFT calculation with GGA-PBE was carried out for a geometry-optimized MgBiAu structure.

Energy relative to the elements (kJ/mol of formula units): -53.7
Uncorrected energy (eV per cell): -9.3
DOS(E_F) (states/eV/atom): 0.326

```
MgBiAu
1.0
4.6544 0.0000 0.0000
-2.3272 4.0308 0.0000
0.0000 0.0000 3.8804
Mg Bi Au
1 1 1
Direct
0.0000 0.0000 0.0000
0.3333 0.6667 0.5033
0.6667 0.3333 0.1465
```



[4]
A plane-wave DFT calculation with GGA-PBE was carried out for a geometry-optimized BaSrLiCd2 structure.

Energy relative to the elements (kJ/mol of formula units): -29.0
Uncorrected energy (eV per cell): -7.6
DOS(E_F) (states/eV/atom): 0.973

```
BaSrLiCd2
1.0
5.4344 0.0000 0.0000
0.0000 5.4344 0.0000
0.0000 0.0000 5.5127
Ba Sr Li Cd
1 1 1 2
Direct
0.0000 0.0000 0.0000
0.5000 0.5000 0.0000
0.5000 0.5000 0.5000
0.0000 0.5000 0.5000
0.5000 0.0000 0.5000
```



[5]
A plane-wave DFT calculation with GGA-PBE was carried out for a geometry-optimized UVOs2 structure.

Energy relative to the elements (kJ/mol of formula units): -19.6
Uncorrected energy (eV per cell): -43.1
Energy relative to the lowest polymorph listed for this composition (eV/atom): 0.176
DOS(E_F) (states/eV/atom): 1.191

```
UVOs2
1.0
4.2052 0.0000 0.0000
0.0000 4.2052 0.0000
0.0000 0.0000 3.7480
U V Os
1 1 2
Direct
0.0000 0.0000 0.0000
0.5000 0.5000 0.0000
0.0000 0.5000 0.5000
0.5000 0.0000 0.5000
```



[6]
A plane-wave DFT calculation with GGA-PBE was carried out for a geometry-optimized LiTaRu2 structure.

Energy relative to the elements (kJ/mol of formula units): 26.2
Uncorrected energy (eV per cell): -32.0
Energy relative to the lowest polymorph listed for this composition (eV/atom): 0.268
DOS(E_F) (states/eV/atom): 1.010

```
LiTaRu2
1.0
2.7588 0.0000 0.0000
0.0000 4.3061 0.0000
-1.0347 0.0000 4.8907
Li Ta Ru
1 1 2
Direct
0.0000 0.0000 0.0000
0.3359 0.5000 0.7616
0.5184 0.0000 0.4850
0.8645 0.5000 0.2498
```



[7]
A plane-wave DFT calculation with GGA-PBE was carried out for a geometry-optimized Ac10Tl4Co3 structure.

Energy relative to the elements (kJ/mol of formula units): -275.0
Uncorrected energy (eV per cell): -74.7
DOS(E_F) (states/eV/atom): 1.030

```
Ac10Tl4Co3
1.0
-2.7600 2.7600 19.6374
2.7600 -2.7600 19.6374
2.7600 2.7600 -19.6374
Ac Tl Co
10 4 3
Direct
0.0000 0.5000 0.5000
0.0712 0.0712 0.0000
0.1412 0.6412 0.5000
0.2175 0.2175 0.0000
0.3588 0.8588 0.5000
0.5000 0.0000 0.5000
0.6412 0.1412 0.5000
0.7825 0.7825 0.0000
0.8588 0.3588 0.5000
0.9288 0.9288 0.0000
0.3018 0.3018 0.0000
0.4302 0.4302 0.0000
0.5698 0.5698 0.0000
0.6982 0.6982 0.0000
0.0000 0.0000 0.0000
0.1419 0.1419 0.0000
0.8581 0.8581 0.0000
```



[8]
A plane-wave DFT calculation with GGA-PBE was carried out for a geometry-optimized TaTcRu2 structure.

Energy relative to the elements (kJ/mol of formula units): 205.2
Uncorrected energy (eV per cell): -77.3
Energy relative to the lowest polymorph listed for this composition (eV/atom): 0.657
DOS(E_F) (states/eV/atom): 0.872

```
TaTcRu2
1.0
-1.9145 1.9145 8.9724
1.9145 -1.9145 8.9724
1.9145 1.9145 -8.9724
Ta Tc Ru
2 2 4
Direct
0.0000 0.0000 0.0000
0.7500 0.2500 0.5000
0.2500 0.7500 0.5000
0.5000 0.5000 0.0000
0.1390 0.6250 0.0140
0.3750 0.3890 0.5140
0.6110 0.1250 0.9860
0.8750 0.8610 0.4860
```



[9]
A plane-wave DFT calculation with GGA-PBE was carried out for a geometry-optimized HfTi3 structure.

Energy relative to the elements (kJ/mol of formula units): 33.1
Uncorrected energy (eV per cell): -33.3
DOS(E_F) (states/eV/atom): 1.728

```
HfTi3
1.0
3.0225 0.0000 0.0000
0.0000 4.0455 0.0000
0.0000 0.0000 6.0777
Hf Ti
1 3
Direct
0.0000 0.0000 0.0000
0.0000 0.0000 0.5000
0.5000 0.5000 0.2692
0.5000 0.5000 0.7308
```



[10]
A plane-wave DFT calculation with GGA-PBE was carried out for a geometry-optimized TlVPd2 structure.

Energy relative to the elements (kJ/mol of formula units): 1.0
Uncorrected energy (eV per cell): -21.9
Energy relative to the lowest polymorph listed for this composition (eV/atom): 0.053
DOS(E_F) (states/eV/atom): 1.507

```
TlVPd2
1.0
0.0000 3.2456 3.2456
3.2456 0.0000 3.2456
3.2456 3.2456 0.0000
Tl V Pd
1 1 2
Direct
0.0000 0.0000 0.0000
0.5000 0.5000 0.5000
0.2500 0.2500 0.2500
0.7500 0.7500 0.7500
```



[11]
A plane-wave DFT calculation with GGA-PBE was carried out for a geometry-optimized Ho3Er3ScS8 structure.

Formation energy without anion corrections (meV/atom): -2025
Uncorrected energy (eV per cell): -97.1
DOS(E_F) (states/eV/atom): 0.430

```
Ho3Er3ScS8
1.0
3.8507 2.2232 6.2951
-3.8507 2.2232 6.2951
0.0000 -4.4464 6.2951
Ho Er Sc S
3 3 1 8
Direct
0.0000 0.5000 0.5000
0.5000 0.0000 0.5000
0.5000 0.5000 0.0000
0.0000 0.0000 0.5000
0.0000 0.5000 0.0000
0.5000 0.0000 0.0000
0.5000 0.5000 0.5000
0.2494 0.2494 0.2494
0.2542 0.7446 0.7446
0.2554 0.2554 0.7458
0.2554 0.7458 0.2554
0.7446 0.2542 0.7446
0.7446 0.7446 0.2542
0.7458 0.2554 0.2554
0.7506 0.7506 0.7506
```



[12]
A plane-wave DFT calculation with GGA-PBE was carried out for a geometry-optimized ZrAl2W structure.

Energy relative to the elements (kJ/mol of formula units): -65.6
Uncorrected energy (eV per cell): -29.7
Energy relative to the lowest polymorph listed for this composition (eV/atom): 0.014
DOS(E_F) (states/eV/atom): 0.519

```
ZrAl2W
1.0
-1.8318 2.1998 4.2863
1.8318 -2.1998 4.2863
1.8318 2.1998 -4.2863
Zr Al W
1 2 1
Direct
0.0000 0.0000 0.0000
0.2577 0.7577 0.5000
0.7423 0.2423 0.5000
0.5000 0.5000 0.0000
```



Repeat the tenth record exactly.
A plane-wave DFT calculation with GGA-PBE was carried out for a geometry-optimized TlVPd2 structure.

Energy relative to the elements (kJ/mol of formula units): 1.0
Uncorrected energy (eV per cell): -21.9
Energy relative to the lowest polymorph listed for this composition (eV/atom): 0.053
DOS(E_F) (states/eV/atom): 1.507

```
TlVPd2
1.0
0.0000 3.2456 3.2456
3.2456 0.0000 3.2456
3.2456 3.2456 0.0000
Tl V Pd
1 1 2
Direct
0.0000 0.0000 0.0000
0.5000 0.5000 0.5000
0.2500 0.2500 0.2500
0.7500 0.7500 0.7500
```